Computed, not measured: CrPt3F after structural relaxation at the PBE+U level of DFT.

Calculated values
Fermi-level density of states   1.215 states/eV per atom
Energy above the most stable polymorph in this dataset   2.757 eV/f.u.

abc: 4.6758 4.6758 4.6758
angles: 90.00 90.00 90.00
With the nearest neighbours (Å) after each atom.
Space group Pm-3m (No. 221)
Symmetry-distinct sites (fractional):
Cr 0.0000 0.0000 0.0000  6 Pt 2.34
Pt 0.0000 0.0000 0.5000  2 Cr 2.34
F 0.5000 0.5000 0.5000  12 Pt 3.31